Version A
VASP calculation (PBE-GGA) on PmBeGa after structural relaxation.

The structure belongs to space group I4_1md (No. 109); the cell edges are 4.099, 4.099 and 14.313 Å and the angles 90.00°, 90.00° and 90.00°. The asymmetric unit holds Pm at (0.000, 0.000, 0.000), Be at (0.000, 0.000, 0.415) and Ga at (0.000, 0.000, 0.584).

As for the density of states at the Fermi level: 3.54 states/eV/f.u. As for the magnetization: 0.72 μB per cell.

---

Version B
VASP calculation (PBE-GGA) on PmBeGa after structural relaxation.

The structure belongs to space group I4mm (No. 107); the cell edges are 4.027, 4.027 and 8.027 Å and the angles 90.00°, 90.00° and 90.00°. The asymmetric unit holds Pm at (0.000, 0.000, 0.000), Be at (0.000, 0.000, 0.644) and Ga at (0.000, 0.000, 0.356).

As for the density of states at the Fermi level: 1.88 states/eV/f.u. As for the magnetization: 0.00 μB per cell.

---

Most stable one: version A, least stable one: version B.

---

Version A
VASP calculation (PBE-GGA) on BeGaPt after structural relaxation.

The structure belongs to space group I4mm (No. 107); the cell edges are 3.130, 3.130 and 8.057 Å and the angles 90.00°, 90.00° and 90.00°. The asymmetric unit holds Be at (0.000, 0.000, 0.000), Ga at (0.000, 0.000, 0.675) and Pt at (0.000, 0.000, 0.360).

As for the density of states at the Fermi level: 0.84 states/eV/f.u. As for the magnetization: 0.00 μB per cell.

---

Version B
VASP calculation (PBE-GGA) on BeGaPt after structural relaxation.

The structure belongs to space group P4/nmm (No. 129, origin choice 2); the cell edges are 3.378, 3.378 and 7.269 Å and the angles 90.00°, 90.00° and 90.00°. The asymmetric unit holds Be at (0.250, 0.750, 0.000), Ga at (0.250, 0.250, 0.382) and Pt at (0.250, 0.250, 0.771).

As for the density of states at the Fermi level: 0.99 states/eV/f.u. As for the magnetization: 0.00 μB per cell.

---

Most stable one: version B, least stable one: version A.

---

Version A
VASP calculation (PBE-GGA) on Be3GaPt after structural relaxation.

The structure belongs to space group Pm-3m (No. 221); the cell edges are 4.306, 4.306 and 4.306 Å and the angles 90.00°, 90.00° and 90.00°. The asymmetric unit holds Be at (0.000, 0.000, 0.500), Ga at (0.500, 0.500, 0.500) and Pt at (0.000, 0.000, 0.000).

As for the density of states at the Fermi level: 1.91 states/eV/f.u. As for the magnetization: 0.00 μB per cell.

---

Version B
VASP calculation (PBE-GGA) on Be3GaPt after structural relaxation.

The structure belongs to space group Pm-3m (No. 221); the cell edges are 4.098, 4.098 and 4.098 Å and the angles 90.00°, 90.00° and 90.00°. The asymmetric unit holds Be at (0.000, 0.000, 0.500), Ga at (0.000, 0.000, 0.000) and Pt at (0.500, 0.500, 0.500).

As for the density of states at the Fermi level: 1.13 states/eV/f.u. As for the magnetization: 0.00 μB per cell.

---

Most stable one: version A, least stable one: version B.

---

Version A
VASP calculation (PBE-GGA) on PuBeGa2 after structural relaxation.

The structure belongs to space group Pnma (No. 62); the cell edges are 6.282, 4.432 and 9.992 Å and the angles 90.00°, 90.00° and 90.00°. The asymmetric unit holds Pu at (0.242, 0.250, 0.147), Be at (0.049, 0.750, 0.370), Ga at (0.074, 0.250, 0.850) and Ga at (0.220, 0.250, 0.447).

As for the density of states at the Fermi level: 7.18 states/eV/f.u. As for the magnetization: 22.72 μB per cell.

---

Version B
VASP calculation (PBE-GGA) on PuBeGa2 after structural relaxation.

The structure belongs to space group Fm-3m (No. 225); the cell edges are 6.585, 6.585 and 6.585 Å and the angles 90.00°, 90.00° and 90.00°. The asymmetric unit holds Pu at (0.000, 0.000, 0.000), Be at (0.000, 0.000, 0.500) and Ga at (0.250, 0.250, 0.250).

As for the density of states at the Fermi level: 6.87 states/eV/f.u. As for the magnetization: 20.87 μB per cell.

---

Most stable one: version A, least stable one: version B.

---

Version A
VASP calculation (PBE-GGA) on Pu2BeGa after structural relaxation.

The structure belongs to space group R-3m (No. 166, hexagonal axes); the cell edges are 2.6252, 2.6252 and 33.6665 Å and the angles 90.00°, 90.00° and 120.00°. The asymmetric unit holds Pu at (0.0000, 0.0000, 0.0857), Be at (0.0000, 0.0000, 0.0000) and Ga at (0.0000, 0.0000, 0.5000).

As for the density of states at the Fermi level: 5.49 states/eV/f.u. As for the magnetization: 9.55 μB per cell.

---

Version B
VASP calculation (PBE-GGA) on Pu2BeGa after structural relaxation.

The structure belongs to space group P4/mmm (No. 123); the cell edges are 3.515, 3.515 and 4.823 Å and the angles 90.00°, 90.00° and 90.00°. The asymmetric unit holds Pu at (0.000, 0.500, 0.000), Be at (0.000, 0.000, 0.500) and Ga at (0.500, 0.500, 0.500).

As for the density of states at the Fermi level: 5.36 states/eV/f.u. As for the magnetization: 0.00 μB per cell.

---

Version C
VASP calculation (PBE-GGA) on Pu2BeGa after structural relaxation.

The structure belongs to space group P4/mmm (No. 123); the cell edges are 2.977, 2.977 and 8.625 Å and the angles 90.00°, 90.00° and 90.00°. The asymmetric unit holds Pu at (0.000, 0.000, 0.232), Be at (0.500, 0.500, 0.000) and Ga at (0.500, 0.500, 0.500).

As for the density of states at the Fermi level: 8.69 states/eV/f.u. As for the magnetization: 10.36 μB per cell.

---

Most stable one: version C, least stable one: version A.

---

Version A
VASP calculation (PBE-GGA) on RbBe3Ga after structural relaxation.

The structure belongs to space group Pm-3m (No. 221); the cell edges are 4.583, 4.583 and 4.583 Å and the angles 90.00°, 90.00° and 90.00°. The asymmetric unit holds Rb at (0.000, 0.000, 0.000), Be at (0.000, 0.500, 0.500) and Ga at (0.500, 0.500, 0.500).

As for the density of states at the Fermi level: 3.26 states/eV/f.u. As for the magnetization: 0.00 μB per cell.

---

Version B
VASP calculation (PBE-GGA) on RbBe3Ga after structural relaxation.

The structure belongs to space group Pm-3m (No. 221); the cell edges are 5.757, 5.757 and 5.757 Å and the angles 90.00°, 90.00° and 90.00°. The asymmetric unit holds Rb at (0.000, 0.000, 0.000), Be at (0.000, 0.000, 0.500) and Ga at (0.500, 0.500, 0.500).

As for the density of states at the Fermi level: 5.68 states/eV/f.u. As for the magnetization: 0.00 μB per cell.

---

Most stable one: version A, least stable one: version B.

---

Version A
VASP calculation (PBE-GGA) on BeGa3Re after structural relaxation.

The structure belongs to space group Pm-3m (No. 221); the cell edges are 4.847, 4.847 and 4.847 Å and the angles 90.00°, 90.00° and 90.00°. The asymmetric unit holds Be at (0.000, 0.000, 0.000), Ga at (0.000, 0.500, 0.500) and Re at (0.500, 0.500, 0.500).

As for the density of states at the Fermi level: 4.89 states/eV/f.u. As for the magnetization: 0.22 μB per cell.

---

Version B
VASP calculation (PBE-GGA) on BeGa3Re after structural relaxation.

The structure belongs to space group Pm-3m (No. 221); the cell edges are 4.343, 4.343 and 4.343 Å and the angles 90.00°, 90.00° and 90.00°. The asymmetric unit holds Be at (0.000, 0.000, 0.000), Ga at (0.000, 0.000, 0.500) and Re at (0.500, 0.500, 0.500).

As for the density of states at the Fermi level: 2.63 states/eV/f.u. As for the magnetization: 2.45 μB per cell.

---

Most stable one: version A, least stable one: version B.

---

Version A
VASP calculation (PBE-GGA) on BeGaRe2 after structural relaxation.

The structure belongs to space group I-42d (No. 122); the cell edges are 3.717, 3.717 and 17.713 Å and the angles 90.00°, 90.00° and 90.00°. The asymmetric unit holds Be at (0.000, 0.000, 0.000), Ga at (0.000, 0.000, 0.500) and Re at (0.211, 0.250, 0.125).

As for the density of states at the Fermi level: 2.58 states/eV/f.u. As for the magnetization: 0.00 μB per cell.

---

Version B
VASP calculation (PBE-GGA) on BeGaRe2 after structural relaxation.

The structure belongs to space group Fm-3m (No. 225); the cell edges are 5.949, 5.949 and 5.949 Å and the angles 90.00°, 90.00° and 90.00°. The asymmetric unit holds Be at (0.000, 0.000, 0.000), Ga at (0.000, 0.000, 0.500) and Re at (0.250, 0.250, 0.250).

As for the density of states at the Fermi level: 3.98 states/eV/f.u. As for the magnetization: 0.00 μB per cell.

---

Most stable one: version B, least stable one: version A.

---

Version A
VASP calculation (PBE-GGA) on BeGaReSn2 after structural relaxation.

The structure belongs to space group P4/mmm (No. 123); the cell edges are 5.163, 5.163 and 4.528 Å and the angles 90.00°, 90.00° and 90.00°. The asymmetric unit holds Be at (0.000, 0.000, 0.000), Ga at (0.500, 0.500, 0.000), Re at (0.000, 0.000, 0.500) and Sn at (0.000, 0.500, 0.500).

As for the density of states at the Fermi level: 1.70 states/eV/f.u. As for the magnetization: 0.00 μB per cell.

---

Version B
VASP calculation (PBE-GGA) on BeGaReSn2 after structural relaxation.

The structure belongs to space group P4/mmm (No. 123); the cell edges are 5.181, 5.181 and 4.767 Å and the angles 90.00°, 90.00° and 90.00°. The asymmetric unit holds Be at (0.000, 0.000, 0.000), Ga at (0.500, 0.500, 0.500), Re at (0.500, 0.500, 0.000) and Sn at (0.000, 0.500, 0.500).

As for the density of states at the Fermi level: 3.37 states/eV/f.u. As for the magnetization: 1.99 μB per cell.

---

Most stable one: version A, least stable one: version B.

---

Version A
VASP calculation (PBE-GGA) on BeGaRh after structural relaxation.

The structure belongs to space group I4/mmm (No. 139); the cell edges are 2.880, 2.880 and 18.964 Å and the angles 90.00°, 90.00° and 90.00°. The asymmetric unit holds Be at (0.000, 0.000, 0.219), Ga at (0.000, 0.000, 0.067) and Rh at (0.000, 0.000, 0.346).

As for the density of states at the Fermi level: 1.11 states/eV/f.u. As for the magnetization: 0.00 μB per cell.

---

Version B
VASP calculation (PBE-GGA) on BeGaRh after structural relaxation.

The structure belongs to space group I4mm (No. 107); the cell edges are 2.977, 2.977 and 8.357 Å and the angles 90.00°, 90.00° and 90.00°. The asymmetric unit holds Be at (0.000, 0.000, 0.000), Ga at (0.000, 0.000, 0.676) and Rh at (0.000, 0.000, 0.366).

As for the density of states at the Fermi level: 1.73 states/eV/f.u. As for the magnetization: 0.00 μB per cell.

---

Version C
VASP calculation (PBE-GGA) on BeGaRh after structural relaxation.

The structure belongs to space group P3m1 (No. 156); the cell edges are 3.9106, 3.9106 and 2.8760 Å and the angles 90.00°, 90.00° and 120.00°. The asymmetric unit holds Be at (0.0000, 0.0000, 0.0000), Ga at (0.6667, 0.3333, 0.4816) and Rh at (0.3333, 0.6667, 0.9804).

As for the density of states at the Fermi level: 0.93 states/eV/f.u. As for the magnetization: 0.00 μB per cell.

---

Most stable one: version A, least stable one: version C.

---

Version A
VASP calculation (PBE-GGA) on BeGaRh2 after structural relaxation.

The structure belongs to space group P4/mmm (No. 123); the cell edges are 2.911, 2.911 and 5.849 Å and the angles 90.00°, 90.00° and 90.00°. The asymmetric unit holds Be at (0.000, 0.000, 0.000), Ga at (0.000, 0.000, 0.500) and Rh at (0.500, 0.500, 0.234).

As for the density of states at the Fermi level: 1.32 states/eV/f.u. As for the magnetization: 0.00 μB per cell.

---

Version B
VASP calculation (PBE-GGA) on BeGaRh2 after structural relaxation.

The structure belongs to space group I-42d (No. 122); the cell edges are 3.902, 3.902 and 15.659 Å and the angles 90.00°, 90.00° and 90.00°. The asymmetric unit holds Be at (0.000, 0.000, 0.000), Ga at (0.000, 0.000, 0.500) and Rh at (0.208, 0.250, 0.125).

As for the density of states at the Fermi level: 3.10 states/eV/f.u. As for the magnetization: 0.00 μB per cell.

---

Most stable one: version A, least stable one: version B.

---

Version A
VASP calculation (PBE-GGA) on Be2GaRu2 after structural relaxation.

The structure belongs to space group P4/mbm (No. 127); the cell edges are 6.087, 6.087 and 3.036 Å and the angles 90.00°, 90.00° and 90.00°. The asymmetric unit holds Be at (0.121, 0.379, 0.000), Ga at (0.000, 0.000, 0.000) and Ru at (0.173, 0.673, 0.500).

As for the density of states at the Fermi level: 2.64 states/eV/f.u. As for the magnetization: 0.00 μB per cell.

---

Version B
VASP calculation (PBE-GGA) on Be2GaRu2 after structural relaxation.

The structure belongs to space group P4/mbm (No. 127); the cell edges are 6.453, 6.453 and 2.995 Å and the angles 90.00°, 90.00° and 90.00°. The asymmetric unit holds Be at (0.136, 0.364, 0.000), Ga at (0.000, 0.000, 0.500) and Ru at (0.152, 0.652, 0.500).

As for the density of states at the Fermi level: 5.08 states/eV/f.u. As for the magnetization: 0.00 μB per cell.

---

Most stable one: version A, least stable one: version B.

---

Version A
VASP calculation (PBE-GGA) on BeGa2S after structural relaxation.

The structure belongs to space group I-42d (No. 122); the cell edges are 5.683, 5.683 and 10.092 Å and the angles 90.00°, 90.00° and 90.00°. The asymmetric unit holds Be at (0.000, 0.000, 0.000), Ga at (0.229, 0.250, 0.125) and S at (0.000, 0.000, 0.500).

As for the density of states at the Fermi level: 0.54 states/eV/f.u. As for the magnetization: 0.00 μB per cell.

---

Version B
VASP calculation (PBE-GGA) on BeGa2S after structural relaxation.

The structure belongs to space group Fm-3m (No. 225); the cell edges are 6.423, 6.423 and 6.423 Å and the angles 90.00°, 90.00° and 90.00°. The asymmetric unit holds Be at (0.000, 0.000, 0.000), Ga at (0.250, 0.250, 0.250) and S at (0.000, 0.000, 0.500).

As for the density of states at the Fermi level: 1.82 states/eV/f.u. As for the magnetization: 0.00 μB per cell.

---

Most stable one: version A, least stable one: version B.